PBE ZnHgAu, optimized geometry; formation energy = -0.4 meV/atom; relative energy among the computed polymorphs = 0 meV/atom; N(E_F) = 0.14 states/eV per atom
1.0
-4.125 -2.978 -1.164
-1.371 -4.218 2.752
1.321 5.007 0.653
Hg Au Zn
1 1 1
direct
0.331 0.331 0.000
0.018 0.018 0.000
0.650 0.650 0.000

---

PBE AcPr8Ho6, optimized geometry; formation energy = 199.2 meV/atom; N(E_F) = 1.43 states/eV per atom
1.0
6.720 0.000 0.000
0.000 8.312 -4.799
0.000 0.000 9.598
Pr Ho Ac
8 6 1
direct
0.886 0.320 0.009
0.114 0.311 0.320
0.170 0.667 0.333
0.114 0.009 0.689
0.114 0.680 0.991
0.886 0.689 0.680
0.830 0.333 0.667
0.886 0.991 0.311
0.390 0.327 0.913
0.390 0.587 0.673
0.610 0.913 0.587
0.610 0.413 0.327
0.610 0.673 0.087
0.390 0.087 0.413
0.500 0.000 0.000

---

PBE Cd2SiTc, optimized geometry; raw formation energy = 0.265 eV/atom; N(E_F) = 0.94 states/eV per atom
1.0
2.925 -0.008 0.000
-1.132 2.697 0.000
0.000 0.000 9.371
Cd Tc Si
2 1 1
direct
0.500 0.500 0.267
0.000 0.000 0.974
0.500 0.500 0.720
0.000 0.000 0.538

---

PBE PaTiCrTc, optimized geometry; formation energy = -107.9 meV/atom; N(E_F) = 1.25 states/eV per atom
1.0
4.565 0.000 0.000
2.283 3.953 0.000
2.283 1.318 3.727
Ti Pa Cr Tc
1 1 1 1
direct
0.250 0.250 0.250
0.750 0.750 0.750
0.500 0.500 0.500
0.000 0.000 0.000

---

PBE LiRuPb, optimized geometry; formation energy = 175.9 meV/atom; relative energy among the computed polymorphs = 0 meV/atom; N(E_F) = 0.83 states/eV per atom
1.0
-0.748 -1.205 -4.765
-3.595 -1.738 -2.962
-1.518 2.581 -1.636
Li Ru Pb
1 1 1
direct
0.011 0.011 0.989
0.659 0.659 0.341
0.330 0.330 0.670

---

PBE InAgP2, optimized geometry; formation energy = 232.9 meV/atom; N(E_F) = 0.24 states/eV per atom
1.0
4.289 0.000 0.000
0.000 4.523 0.036
0.000 2.858 4.221
P In Ag
2 1 1
direct
0.500 0.988 0.194
0.000 0.277 0.048
0.500 0.817 0.780
0.000 0.418 0.477

---

PBE K2RuPb, optimized geometry; formation energy = 811.8 meV/atom; N(E_F) = 0.79 states/eV per atom
1.0
3.174 -0.008 0.000
0.006 3.174 0.000
0.000 0.000 11.369
Pb Ru K
1 1 2
direct
0.500 0.500 0.250
0.500 0.500 0.750
0.000 0.000 0.975
0.000 0.000 0.525

---

PBE LaYOs, optimized geometry; formation energy = 108.5 meV/atom; relative energy among the computed polymorphs = 240 meV/atom; N(E_F) = 0.96 states/eV per atom
1.0
4.810 0.000 0.000
-2.405 4.166 0.000
0.000 0.000 3.642
Y La Os
1 1 1
direct
0.333 0.667 0.612
0.000 0.000 0.044
0.667 0.333 0.343

---

| no. | magnetization (μB per formula unit) | E_tot (eV/f.u.) |
| --- | --- | --- |
| 1 | 0.0 | -4.85 |
| 2 | 0.0 | -66.82 |
| 3 | 0.0 | -16.56 |
| 4 | 0.0 | -37.81 |
| 5 | 0.0 | -14.37 |
| 6 | 0.0 | -15.48 |
| 7 | 1.6 | -11.93 |
| 8 | 0.0 | -22.30 |